Pm2CdSn4: optimized geometry, GGA-PBE.

a b c (Å): 9.243 9.260 6.546
angles (deg): 90.00 134.69 90.00
Fractional positions:
Pm 0.250 0.250 0.000
Pm 0.250 0.750 0.000
Pm 0.750 0.250 0.000
Pm 0.750 0.750 0.000
Cd 0.000 0.000 0.000
Cd 0.500 0.500 0.000
Sn 0.000 0.000 0.500
Sn 0.000 0.500 0.500
Sn 0.250 0.250 0.500
Sn 0.250 0.750 0.500
Sn 0.500 0.000 0.500
Sn 0.500 0.500 0.500
Sn 0.750 0.250 0.500
Sn 0.750 0.750 0.500

Values from the calculation:
DFT total energy in eV per atom: -4.2431
Formation energy in eV per formula unit: -3.27
Spin magnetization in μB per cell: 0.0
Space group: No. 12
Volume in A^3/atom: 28.45
ρ in g/cm3: 7.32